# 1
{
  "formula": "HoTmThAl",
  "functional": "PBE",
  "state": "optimized geometry",
  "sg": "No. 216",
  "total_magnetization_mub_per_cell": 0.00,
  "dft_energy_ev_per_fu": -20.4,
  "lattice": [[-4.353, 1.471, 2.737], [-4.237, -3.255, 0.236], [-1.232, -2.458, 4.588]],
  "species": ["Tm", "Ho", "Th", "Al"],
  "frac_coords": [[0.000, 0.000, 0.000], [0.750, 0.750, 0.750], [0.250, 0.250, 0.250], [0.500, 0.500, 0.500]]
}



# 2
{
  "formula": "YHoThAl",
  "functional": "PBE",
  "state": "optimized geometry",
  "sg": "No. 216",
  "total_magnetization_mub_per_cell": 0.00,
  "dft_energy_ev_per_fu": -22.3,
  "lattice": [[-0.664, -2.294, -4.821], [1.426, -5.132, -0.756], [-3.778, -3.768, -0.689]],
  "species": ["Y", "Ho", "Th", "Al"],
  "frac_coords": [[0.250, 0.250, 0.250], [0.000, 0.000, 0.000], [0.750, 0.750, 0.750], [0.500, 0.500, 0.500]]
}



# 3
{
  "formula": "Ho2Th2Al4Zn",
  "functional": "PBE",
  "state": "optimized geometry",
  "sg": "No. 139",
  "total_magnetization_mub_per_cell": 0.00,
  "dft_energy_ev_per_fu": -41.3,
  "lattice": [[-6.479, 0.924, -1.221], [1.710, -5.576, 3.210], [2.875, 4.117, 4.371]],
  "species": ["Ho", "Ho", "Th", "Th", "Al", "Al", "Al", "Al", "Zn"],
  "frac_coords": [[0.000, 0.694, 0.694], [0.000, 0.306, 0.306], [0.500, 0.750, 0.250], [0.500, 0.250, 0.750], [0.000, 0.754, 0.246], [0.507, 0.754, 0.754], [0.000, 0.246, 0.754], [0.493, 0.246, 0.246], [0.000, 0.000, 0.000]]
}



# 4
{
  "formula": "HoThAlZn",
  "functional": "PBE",
  "state": "optimized geometry",
  "sg": "No. 216",
  "total_magnetization_mub_per_cell": 0.00,
  "dft_energy_ev_per_fu": -18.2,
  "lattice": [[-2.794, 4.322, -0.146], [-2.642, 1.499, 4.158], [1.518, 4.138, 2.661]],
  "species": ["Zn", "Ho", "Th", "Al"],
  "frac_coords": [[0.500, 0.500, 0.500], [0.750, 0.750, 0.750], [0.250, 0.250, 0.250], [0.000, 0.000, 0.000]]
}



# 5
{
  "formula": "HoTi2Al",
  "functional": "PBE",
  "state": "optimized geometry",
  "sg": "No. 123",
  "total_magnetization_mub_per_cell": 0.00,
  "dft_energy_ev_per_fu": -24.4,
  "lattice": [[4.238, 0.000, 0.000], [0.000, 4.291, 0.000], [0.000, 0.000, 4.291]],
  "species": ["Al", "Ho", "Ti", "Ti"],
  "frac_coords": [[0.500, 0.500, 0.500], [0.500, 0.000, 0.000], [0.000, 0.000, 0.500], [0.000, 0.500, 0.000]]
}



# 6
{
  "formula": "Ho3TiAl8",
  "functional": "PBE",
  "state": "optimized geometry",
  "sg": "No. 160",
  "total_magnetization_mub_per_cell": 0.00,
  "dft_energy_ev_per_fu": -56.9,
  "lattice": [[-3.182, 0.912, -4.322], [-5.367, -0.847, 0.344], [-4.014, 8.470, 1.314]],
  "species": ["Ho", "Ho", "Ho", "Ti", "Al", "Al", "Al", "Al", "Al", "Al", "Al", "Al"],
  "frac_coords": [[0.375, 0.375, 0.875], [0.998, 0.998, 0.006], [0.501, 0.501, 0.496], [0.875, 0.875, 0.375], [0.935, 0.436, 0.193], [0.441, 0.939, 0.681], [0.436, 0.436, 0.193], [0.939, 0.939, 0.681], [0.188, 0.188, 0.437], [0.687, 0.687, 0.938], [0.436, 0.935, 0.193], [0.939, 0.441, 0.681]]
}



# 7
{
  "formula": "HoTiAl3",
  "functional": "PBE",
  "state": "optimized geometry",
  "sg": "No. 107",
  "total_magnetization_mub_per_cell": 0.00,
  "dft_energy_ev_per_fu": -24.3,
  "lattice": [[-0.718, 3.778, -1.307], [-2.800, 0.473, 2.904], [6.117, 0.035, 3.052]],
  "species": ["Ho", "Ti", "Al", "Al", "Al"],
  "frac_coords": [[0.995, 0.995, 0.990], [0.629, 0.629, 0.258], [0.273, 0.773, 0.546], [0.773, 0.273, 0.546], [0.420, 0.420, 0.841]]
}



# 8
{
  "formula": "HoTi2Al8",
  "functional": "PBE",
  "state": "optimized geometry",
  "sg": "No. 71",
  "total_magnetization_mub_per_cell": 0.00,
  "dft_energy_ev_per_fu": -52.7,
  "lattice": [[-2.380, -0.604, -4.327], [1.917, -7.236, 2.815], [-3.852, 5.615, 4.195]],
  "species": ["Ho", "Ti", "Ti", "Al", "Al", "Al", "Al", "Al", "Al", "Al", "Al"],
  "frac_coords": [[0.500, 0.000, 0.000], [0.000, 0.321, 0.679], [0.000, 0.679, 0.321], [0.762, 0.897, 0.628], [0.762, 0.628, 0.897], [0.243, 0.500, 0.500], [0.500, 0.793, 0.207], [0.500, 0.207, 0.793], [0.757, 0.500, 0.500], [0.238, 0.372, 0.103], [0.238, 0.103, 0.372]]
}



Repeat the fourth record exactly.
{
  "formula": "HoThAlZn",
  "functional": "PBE",
  "state": "optimized geometry",
  "sg": "No. 216",
  "total_magnetization_mub_per_cell": 0.00,
  "dft_energy_ev_per_fu": -18.2,
  "lattice": [[-2.794, 4.322, -0.146], [-2.642, 1.499, 4.158], [1.518, 4.138, 2.661]],
  "species": ["Zn", "Ho", "Th", "Al"],
  "frac_coords": [[0.500, 0.500, 0.500], [0.750, 0.750, 0.750], [0.250, 0.250, 0.250], [0.000, 0.000, 0.000]]
}